Computed, not measured: a relaxed structure of ReB3N at the PBE level of DFT.

Properties
**E_form (uncorrected)**: 1.47 eV per atom
**Energy**: -6.69 eV/atom
**DOS at the Fermi energy**: 2.74 states/eV/cell
**Excess energy over the best structure of this formula in the dataset**: 0 meV/atom

Cell: 3.448 3.448 3.448 Å, 90.00 90.00 90.00°
Fractional coordinates of all 5 atoms:
1 B 0.000 0.000 0.500
2 B 0.000 0.500 0.000
3 B 0.500 0.000 0.000
4 N 0.000 0.000 0.000
5 Re 0.500 0.500 0.500